Record 1
This record from the Alexandria database describes a relaxed Cu2AgHg crystal. The functional is PBE-GGA.

The structure in CIF format:
```
data_Cu2AgHg
_chemical_formula_sum 'Cu2 Ag1 Hg1'
_cell_length_a 5.318
_cell_length_b 5.318
_cell_length_c 4.417
_cell_angle_alpha 62.09
_cell_angle_beta 62.09
_cell_angle_gamma 35.89
_symmetry_space_group_name_H-M 'P 1'
_symmetry_Int_Tables_number 1
loop_
_symmetry_equiv_pos_as_xyz
'x,y,z'
loop_
_atom_site_label
_atom_site_type_symbol
_atom_site_fract_x
_atom_site_fract_y
_atom_site_fract_z
Cu1 Cu 0.733 0.733 0.781
Hg1 Hg 0.488 0.488 0.500
Ag1 Ag 0.262 0.262 0.250
Cu2 Cu 0.016 0.016 0.969
```

Mass density: 11.34 g cm⁻³
Energy: -2.698 eV per atom


Record 2
This record from the Alexandria database describes a relaxed SrMoSe2Br crystal. The functional is PBE-GGA.

The structure in CIF format:
```
data_SrMoSe2Br
_chemical_formula_sum 'Sr1 Mo1 Se2 Br1'
_cell_length_a 4.954
_cell_length_b 4.954
_cell_length_c 5.422
_cell_angle_alpha 90.00
_cell_angle_beta 90.00
_cell_angle_gamma 90.00
_symmetry_space_group_name_H-M 'P 1'
_symmetry_Int_Tables_number 1
loop_
_symmetry_equiv_pos_as_xyz
'x,y,z'
loop_
_atom_site_label
_atom_site_type_symbol
_atom_site_fract_x
_atom_site_fract_y
_atom_site_fract_z
Sr1 Sr 0.500 0.500 0.500
Se1 Se 0.500 0.000 0.000
Se2 Se 0.000 0.500 0.000
Br1 Br 0.000 0.000 0.500
Mo1 Mo 0.000 0.000 0.000
```

Mass density: 5.26 g cm⁻³
Energy: -4.925 eV per atom
ΔE to the lowest computed polymorph: 0.000 eV per atom


Record 3
This record from the Alexandria database describes a relaxed Cs2InBBr6 crystal. The functional is PBE-GGA.

The structure in CIF format:
```
data_Cs2InBBr6
_chemical_formula_sum 'Cs2 In1 B1 Br6'
_cell_length_a 7.738
_cell_length_b 7.738
_cell_length_c 7.747
_cell_angle_alpha 60.04
_cell_angle_beta 60.04
_cell_angle_gamma 90.00
_symmetry_space_group_name_H-M 'P 1'
_symmetry_Int_Tables_number 1
loop_
_symmetry_equiv_pos_as_xyz
'x,y,z'
loop_
_atom_site_label
_atom_site_type_symbol
_atom_site_fract_x
_atom_site_fract_y
_atom_site_fract_z
Br1 Br 0.252 0.252 0.000
Br2 Br 0.748 0.252 0.000
Cs1 Cs 0.750 0.250 0.500
Br3 Br 0.252 0.748 0.000
Br4 Br 0.749 0.749 0.503
Cs2 Cs 0.250 0.750 0.500
B1 B 0.500 0.500 0.000
Br5 Br 0.748 0.748 0.000
Br6 Br 0.251 0.251 0.497
In1 In 0.000 0.000 0.000
```

Mass density: 4.40 g cm⁻³
Energy: -2.874 eV per atom


Record 4
This record from the Alexandria database describes a relaxed Tb2Dy6Y3Pu crystal. The functional is PBE-GGA.

The structure in CIF format:
```
data_Tb2Dy6Y3Pu
_chemical_formula_sum 'Tb2 Dy6 Y3 Pu1'
_cell_length_a 6.137
_cell_length_b 6.137
_cell_length_c 11.709
_cell_angle_alpha 95.02
_cell_angle_beta 95.02
_cell_angle_gamma 120.02
_symmetry_space_group_name_H-M 'P 1'
_symmetry_Int_Tables_number 1
loop_
_symmetry_equiv_pos_as_xyz
'x,y,z'
loop_
_atom_site_label
_atom_site_type_symbol
_atom_site_fract_x
_atom_site_fract_y
_atom_site_fract_z
Y1 Y 0.500 0.500 0.500
Dy1 Dy 0.412 0.082 0.248
Tb1 Tb 0.333 0.667 0.000
Pu1 Pu 0.000 0.000 0.000
Dy2 Dy 0.753 0.753 0.248
Dy3 Dy 0.918 0.588 0.752
Dy4 Dy 0.247 0.247 0.752
Dy5 Dy 0.588 0.918 0.752
Tb2 Tb 0.667 0.333 0.000
Dy6 Dy 0.082 0.412 0.248
Y2 Y 0.833 0.167 0.500
Y3 Y 0.167 0.833 0.500
```

Mass density: 7.97 g cm⁻³
Energy: -5.838 eV per atom


Record 5
This record from the Alexandria database describes a relaxed Mn5FeN4 crystal. The functional is PBE-GGA.

The structure in CIF format:
```
data_Mn5FeN4
_chemical_formula_sum 'Mn10 Fe2 N8'
_cell_length_a 4.631
_cell_length_b 6.062
_cell_length_c 6.677
_cell_angle_alpha 90.00
_cell_angle_beta 90.00
_cell_angle_gamma 90.00
_symmetry_space_group_name_H-M 'P 1'
_symmetry_Int_Tables_number 1
loop_
_symmetry_equiv_pos_as_xyz
'x,y,z'
loop_
_atom_site_label
_atom_site_type_symbol
_atom_site_fract_x
_atom_site_fract_y
_atom_site_fract_z
N1 N 0.553 0.000 0.253
Mn1 Mn 0.251 0.779 0.189
N2 N 0.055 0.781 0.500
N3 N 0.945 0.719 0.000
Mn2 Mn 0.749 0.279 0.311
N4 N 0.447 0.500 0.247
N5 N 0.055 0.219 0.500
Mn3 Mn 0.749 0.721 0.689
Fe1 Fe 0.651 0.500 0.000
N6 N 0.447 0.500 0.753
N7 N 0.553 0.000 0.747
Mn4 Mn 0.749 0.279 0.689
Mn5 Mn 0.251 0.221 0.811
Mn6 Mn 0.251 0.221 0.189
Mn7 Mn 0.251 0.779 0.811
Fe2 Fe 0.349 0.000 0.500
Mn8 Mn 0.768 0.000 0.000
N8 N 0.945 0.281 0.000
Mn9 Mn 0.232 0.500 0.500
Mn10 Mn 0.749 0.721 0.311
```

Mass density: 6.85 g cm⁻³
Energy: -8.881 eV per atom


Record 6
This record from the Alexandria database describes a relaxed K3IF6 crystal. The functional is PBE-GGA.

The structure in CIF format:
```
data_K3IF6
_chemical_formula_sum 'K6 I2 F12'
_cell_length_a 4.944
_cell_length_b 6.550
_cell_length_c 12.706
_cell_angle_alpha 90.00
_cell_angle_beta 88.29
_cell_angle_gamma 90.00
_symmetry_space_group_name_H-M 'P 1'
_symmetry_Int_Tables_number 1
loop_
_symmetry_equiv_pos_as_xyz
'x,y,z'
loop_
_atom_site_label
_atom_site_type_symbol
_atom_site_fract_x
_atom_site_fract_y
_atom_site_fract_z
F1 F 0.183 0.378 0.420
F2 F 0.559 0.214 0.560
F3 F 0.059 0.286 0.060
K1 K 0.023 0.583 0.241
K2 K 0.523 0.917 0.741
F4 F 0.468 0.536 0.797
I1 I 0.000 0.000 0.000
F5 F 0.941 0.714 0.940
K3 K 0.977 0.417 0.759
F6 F 0.441 0.786 0.440
F7 F 0.317 0.878 0.080
K4 K 0.000 0.000 0.500
F8 F 0.532 0.464 0.203
K5 K 0.500 0.500 0.000
F9 F 0.968 0.964 0.297
I2 I 0.500 0.500 0.500
K6 K 0.477 0.083 0.259
F10 F 0.817 0.622 0.580
F11 F 0.032 0.036 0.703
F12 F 0.683 0.122 0.920
```

Mass density: 2.89 g cm⁻³
Energy: -3.839 eV per atom